Record 1
VASP calculation (GGA-PBE) on an optimized crystal structure of Ti5Sn3.

a b c (Å): 5.8037 5.8037 4.7183
angles (deg): 90.00 90.00 109.76
Last column: nearest neighbours and their distance in Å.
Fractional positions:
Sn: 0.2115 0.7885 0.5000  10 Ti 2.79-3.10
Ti: 0.0000 0.0000 0.0000  8 Ti 2.90-3.06, 4 Sn 3.10
Ti: 0.2909 0.2909 0.5000  4 Sn 2.74-2.79, 3 Ti 2.79-3.06
Ti: 0.0000 0.5000 0.0000  2 Ti 2.90, 6 Sn 2.90-2.91
Ti: 0.5000 0.0000 0.0000  6 Sn 2.90-2.91, 2 Ti 2.90
Sn: 0.5000 0.5000 0.0000  8 Ti 2.74-2.90
Sn: 0.7885 0.2115 0.5000  10 Ti 2.79-3.10
Ti: 0.7091 0.7091 0.5000  4 Sn 2.74-2.79, 3 Ti 2.79-3.06

Computed properties:
**Electronic total energy**: -0.4928 Ry per atom
**Offset from the most stable computed form**: 80 meV per atom
**SG**: Cmmm, No. 65
**Energy relative to the elements**: -2.16 eV per formula unit
**Density of states at the Fermi level**: 8.79 states/eV/f.u.
**Total magnetic moment**: 0.4 μB per formula unit


Record 2
VASP calculation (GGA-PBE) on an optimized crystal structure of TiSn2.

a b c (Å): 3.6347 3.6347 5.4763
angles (deg): 109.20 109.20 90.10
Last column: nearest neighbours and their distance in Å.
Fractional positions:
Sn: 0.1578 0.1578 0.3134  5 Ti 2.97-3.33, 5 Sn 3.04-3.15
Ti: 0.5000 0.5000 0.0000  10 Sn 2.97-3.33
Sn: 0.8422 0.8422 0.6866  5 Ti 2.97-3.33, 5 Sn 3.04-3.15

Computed properties:
**Electronic total energy**: -0.3982 Ry per atom
**SG**: C2/m, No. 12
**Energy relative to the elements**: -0.35 eV per formula unit
**Density of states at the Fermi level**: 3.56 states/eV/f.u.
**Total magnetic moment**: 0.0 μB per formula unit


Record 3
VASP calculation (GGA-PBE) on an optimized crystal structure of TiSn2.

a b c (Å): 5.5110 5.6611 5.6611
angles (deg): 76.30 60.87 60.87
Last column: nearest neighbours and their distance in Å.
Fractional positions:
Ti: 0.7500 0.0000 0.0000  2 Ti 2.76, 8 Sn 2.94
Sn: 0.6715 0.1571 0.5000  4 Ti 2.94, 2 Sn 3.16
Sn: 0.1715 0.5000 0.1571  4 Ti 2.94, 2 Sn 3.16
Ti: 0.2500 0.0000 0.0000  2 Ti 2.76, 8 Sn 2.94
Sn: 0.8285 0.5000 0.8429  4 Ti 2.94, 2 Sn 3.16
Sn: 0.3285 0.8429 0.5000  4 Ti 2.94, 2 Sn 3.16

Computed properties:
**Electronic total energy**: -0.4051 Ry per atom
**SG**: I4/mcm, No. 140
**Energy relative to the elements**: -0.63 eV per formula unit
**Density of states at the Fermi level**: 2.41 states/eV/f.u.
**Total magnetic moment**: 0.0 μB per formula unit


Record 4
VASP calculation (GGA-PBE) on an optimized crystal structure of Ti5Sn3.

a b c (Å): 5.9137 5.9137 8.9704
angles (deg): 90.00 90.00 105.95
Last column: nearest neighbours and their distance in Å.
Fractional positions:
Ti: 0.9720 0.5109 0.2500  6 Sn 2.87-3.12, 4 Ti 2.89-3.02
Sn: 0.5718 0.5718 0.7500  7 Ti 2.77-2.95
Ti: 0.2874 0.2874 0.5396  4 Sn 2.77-2.88, 3 Ti 2.86-2.89
Sn: 0.7886 0.2114 0.0000  10 Ti 2.88-3.14
Ti: 0.2874 0.2874 0.9604  4 Sn 2.77-2.88, 3 Ti 2.86-2.89
Ti: 0.9860 0.9860 0.7500  6 Ti 2.86-3.02, 5 Sn 2.95-3.00
Sn: 0.7886 0.2114 0.5000  10 Ti 2.88-3.14
Ti: 0.0280 0.4891 0.7500  6 Sn 2.87-3.12, 4 Ti 2.89-3.02
Ti: 0.7126 0.7126 0.0396  4 Sn 2.77-2.88, 3 Ti 2.86-2.89
Sn: 0.2114 0.7886 0.5000  10 Ti 2.88-3.14
Sn: 0.4282 0.4282 0.2500  7 Ti 2.77-2.95
Ti: 0.4891 0.0280 0.7500  6 Sn 2.87-3.12, 4 Ti 2.89-3.02
Ti: 0.7126 0.7126 0.4604  4 Sn 2.77-2.88, 3 Ti 2.86-2.89
Ti: 0.5109 0.9720 0.2500  6 Sn 2.87-3.12, 4 Ti 2.89-3.02
Sn: 0.2114 0.7886 0.0000  10 Ti 2.88-3.14
Ti: 0.0140 0.0140 0.2500  6 Ti 2.86-3.02, 5 Sn 2.95-3.00

Computed properties:
**Electronic total energy**: -0.4951 Ry per atom
**Offset from the most stable computed form**: 49 meV per atom
**SG**: Cmcm, No. 63
**Energy relative to the elements**: -2.41 eV per formula unit
**Density of states at the Fermi level**: 7.71 states/eV/f.u.
**Total magnetic moment**: 0.0 μB per formula unit


Record 5
VASP calculation (GGA-PBE) on an optimized crystal structure of Ti13Sn3.

a b c (Å): 5.9876 5.9876 9.4365
angles (deg): 90.00 90.00 122.60
Last column: nearest neighbours and their distance in Å.
Fractional positions:
Ti: 0.1999 0.3118 0.5000  9 Ti 2.77-3.07, 2 Sn 2.96
Ti: 0.6882 0.8001 0.5000  9 Ti 2.77-3.07, 2 Sn 2.96
Ti: 0.5450 0.9437 0.7464  9 Ti 2.77-3.01, 3 Sn 2.95-3.04
Ti: 0.0563 0.4550 0.7464  9 Ti 2.77-3.01, 3 Sn 2.95-3.04
Ti: 0.6932 0.7948 0.0000  8 Ti 2.81-3.02, 4 Sn 2.95-3.04
Ti: 0.5541 0.4459 0.7420  9 Ti 2.83-3.02, 3 Sn 2.88-2.91
Ti: 0.7136 0.2864 0.5000  12 Ti 2.83-3.16
Sn: 0.0437 0.9563 0.7484  12 Ti 2.86-3.04
Ti: 0.5541 0.4459 0.2580  9 Ti 2.83-3.02, 3 Sn 2.88-2.91
Ti: 0.2007 0.7993 0.5000  2 Sn 2.87, 10 Ti 2.88-3.07
Sn: 0.0437 0.9563 0.2516  12 Ti 2.86-3.04
Ti: 0.5450 0.9437 0.2536  9 Ti 2.77-3.01, 3 Sn 2.95-3.04
Ti: 0.2052 0.3068 0.0000  8 Ti 2.81-3.02, 4 Sn 2.95-3.04
Ti: 0.0563 0.4550 0.2536  9 Ti 2.77-3.01, 3 Sn 2.95-3.04
Sn: 0.7061 0.2939 0.0000  12 Ti 2.88-3.04
Ti: 0.1950 0.8050 0.0000  4 Sn 2.86-2.88, 8 Ti 2.97-3.02

Computed properties:
**Electronic total energy**: -0.5419 Ry per atom
**SG**: Amm2, No. 38
**Energy relative to the elements**: -3.32 eV per formula unit
**Density of states at the Fermi level**: 15.63 states/eV/f.u.
**Total magnetic moment**: 0.0 μB per formula unit


Record 6
VASP calculation (GGA-PBE) on an optimized crystal structure of Ti5Sn3.

a b c (Å): 8.0670 8.0670 5.4367
angles (deg): 90.00 90.00 120.00
Last column: nearest neighbours and their distance in Å.
Fractional positions:
Sn: 0.3915 0.0000 0.7500  9 Ti 2.76-2.97
Ti: 0.2434 0.2434 0.7500  5 Sn 2.76-2.97
Ti: 0.3333 0.6667 0.0000  2 Ti 2.72, 6 Sn 2.83
Ti: 0.3333 0.6667 0.5000  2 Ti 2.72, 6 Sn 2.83
Ti: 0.6667 0.3333 0.5000  2 Ti 2.72, 6 Sn 2.83
Ti: 0.2434 0.0000 0.2500  5 Sn 2.76-2.97
Sn: 0.6085 0.0000 0.2500  9 Ti 2.76-2.97
Ti: 0.7566 0.7566 0.2500  5 Sn 2.76-2.97
Sn: 0.0000 0.3915 0.7500  9 Ti 2.76-2.97
Ti: 0.0000 0.2434 0.2500  5 Sn 2.76-2.97
Ti: 0.7566 0.0000 0.7500  5 Sn 2.76-2.97
Sn: 0.3915 0.3915 0.2500  9 Ti 2.76-2.97
Sn: 0.0000 0.6085 0.2500  9 Ti 2.76-2.97
Ti: 0.0000 0.7566 0.7500  5 Sn 2.76-2.97
Ti: 0.6667 0.3333 0.0000  2 Ti 2.72, 6 Sn 2.83
Sn: 0.6085 0.6085 0.7500  9 Ti 2.76-2.97

Computed properties:
**Electronic total energy**: -0.4987 Ry per atom
**Offset from the most stable computed form**: 0 meV per atom
**SG**: P6_3/mcm, No. 193
**Energy relative to the elements**: -2.80 eV per formula unit
**Density of states at the Fermi level**: 5.45 states/eV/f.u.
**Total magnetic moment**: 0.0 μB per formula unit


Record 7
VASP calculation (GGA-PBE) on an optimized crystal structure of TiSn5.

a b c (Å): 3.9786 4.3629 9.0769
angles (deg): 103.91 90.00 90.00
Last column: nearest neighbours and their distance in Å.
Fractional positions:
Sn: 0.5000 0.5000 0.0000  4 Ti 2.95, 4 Sn 3.18
Sn: 0.0000 0.3201 0.6403  6 Sn 3.07-3.30
Sn: 0.0000 0.6799 0.3597  6 Sn 3.07-3.30
Ti: 0.0000 0.0000 0.0000  8 Sn 2.95-3.05
Sn: 0.5000 0.8685 0.7369  2 Ti 3.05, 6 Sn 3.07-3.18
Sn: 0.5000 0.1315 0.2631  2 Ti 3.05, 6 Sn 3.07-3.18

Computed properties:
**Electronic total energy**: -0.3391 Ry per atom
**SG**: Cmmm, No. 65
**Energy relative to the elements**: 0.22 eV per formula unit
**Density of states at the Fermi level**: 3.13 states/eV/f.u.
**Total magnetic moment**: 0.0 μB per formula unit


Record 8
VASP calculation (GGA-PBE) on an optimized crystal structure of Ti5Sn4.

a b c (Å): 5.6810 8.3803 8.3803
angles (deg): 120.00 90.00 90.00
Last column: nearest neighbours and their distance in Å.
Fractional positions:
Ti: 0.5000 0.6667 0.3333  2 Ti 2.84, 6 Sn 2.96
Sn: 0.0000 0.0000 0.0000  6 Ti 2.76, 2 Sn 2.84
Ti: 0.2500 0.2830 0.2830  7 Sn 2.76-2.97
Ti: 0.5000 0.3333 0.6667  2 Ti 2.84, 6 Sn 2.96
Sn: 0.2500 0.0000 0.3867  9 Ti 2.77-2.97
Sn: 0.7500 0.0000 0.6133  9 Ti 2.77-2.97
Sn: 0.7500 0.3867 0.3867  9 Ti 2.77-2.97
Ti: 0.2500 0.7170 0.0000  7 Sn 2.76-2.97
Ti: 0.0000 0.3333 0.6667  2 Ti 2.84, 6 Sn 2.96
Sn: 0.7500 0.6133 0.0000  9 Ti 2.77-2.97
Ti: 0.7500 0.7170 0.7170  7 Sn 2.76-2.97
Sn: 0.5000 0.0000 0.0000  6 Ti 2.76, 2 Sn 2.84
Ti: 0.7500 0.0000 0.2830  7 Sn 2.76-2.97
Ti: 0.7500 0.2830 0.0000  7 Sn 2.76-2.97
Ti: 0.0000 0.6667 0.3333  2 Ti 2.84, 6 Sn 2.96
Ti: 0.2500 0.0000 0.7170  7 Sn 2.76-2.97
Sn: 0.2500 0.3867 0.0000  9 Ti 2.77-2.97
Sn: 0.2500 0.6133 0.6133  9 Ti 2.77-2.97

Computed properties:
**Electronic total energy**: -0.4787 Ry per atom
**SG**: P6_3/mcm, No. 193
**Energy relative to the elements**: -3.13 eV per formula unit
**Density of states at the Fermi level**: 8.12 states/eV/f.u.
**Total magnetic moment**: 0.0 μB per formula unit


Record 9
VASP calculation (GGA-PBE) on an optimized crystal structure of Ti2Sn.

a b c (Å): 5.4441 5.4441 5.4441
angles (deg): 60.00 60.00 60.00
Last column: nearest neighbours and their distance in Å.
Fractional positions:
Ti: 0.6250 0.6250 0.1250  6 Ti 2.72
Sn: 0.0000 0.0000 0.0000  12 Ti 3.19, 4 Sn 3.33
Ti: 0.6250 0.6250 0.6250  6 Ti 2.72
Ti: 0.1250 0.6250 0.6250  6 Ti 2.72
Sn: 0.2500 0.2500 0.2500  12 Ti 3.19, 4 Sn 3.33
Ti: 0.6250 0.1250 0.6250  6 Ti 2.72

Computed properties:
**Electronic total energy**: -0.4859 Ry per atom
**SG**: Fd-3m, No. 227
**Energy relative to the elements**: -0.04 eV per formula unit
**Density of states at the Fermi level**: 4.38 states/eV/f.u.
**Total magnetic moment**: 0.0 μB per formula unit


Record 10
VASP calculation (GGA-PBE) on an optimized crystal structure of Ti2Sn.

a b c (Å): 4.5921 4.5921 4.5921
angles (deg): 60.00 60.00 60.00
Last column: nearest neighbours and their distance in Å.
Fractional positions:
Sn: 0.7500 0.7500 0.7500  4 Ti 2.81
Ti: 0.2500 0.2500 0.2500  4 Ti 2.81
Ti: 0.0000 0.0000 0.0000  4 Ti 2.81, 4 Sn 2.81

Computed properties:
**Electronic total energy**: -0.4650 Ry per atom
**SG**: F-43m, No. 216
**Energy relative to the elements**: 0.81 eV per formula unit
**Density of states at the Fermi level**: 2.17 states/eV/f.u.
**Total magnetic moment**: 3.8 μB per formula unit


Record 11
VASP calculation (GGA-PBE) on an optimized crystal structure of Ti2TlSn.

a b c (Å): 4.8331 4.8331 4.8331
angles (deg): 60.00 60.00 60.00
Last column: nearest neighbours and their distance in Å.
Fractional positions:
Ti: 0.2500 0.2500 0.2500  4 Tl 2.96, 4 Sn 2.96
Ti: 0.7500 0.7500 0.7500  4 Tl 2.96, 4 Sn 2.96
Tl: 0.5000 0.5000 0.5000  8 Ti 2.96
Sn: 0.0000 0.0000 0.0000  8 Ti 2.96

Computed properties:
**Electronic total energy**: -0.4006 Ry per atom
**Offset from the most stable computed form**: 122 meV per atom
**SG**: Fm-3m, No. 225
**Energy relative to the elements**: 0.35 eV per formula unit
**Density of states at the Fermi level**: 6.65 states/eV/f.u.
**Total magnetic moment**: 0.0 μB per formula unit


- The lowest electronic total energy belongs to which entry?
  Ti13Sn3